# MoPt (GGA-PBE, optimized geometry)
# Calculated volume (Å³/f.u.): 31
# Density of states at the Fermi level (states/eV/atom): 0.86
# Final energy (eV per atom): -8.711
data_MoPt
_chemical_formula_sum 'Mo4 Pt4'
_cell_length_a 4.832
_cell_length_b 4.479
_cell_length_c 5.725
_cell_angle_alpha 90.00
_cell_angle_beta 90.00
_cell_angle_gamma 90.00
_space_group_name_H-M_alt 'P n m a'
_space_group_IT_number 62
loop_
_space_group_symop_operation_xyz
'x,y,z'
'-x,-y,-z'
'-x+1/2,-y,z+1/2'
'x+1/2,y,-z+1/2'
'x+1/2,-y+1/2,-z+1/2'
'-x+1/2,y+1/2,z+1/2'
'-x,y+1/2,-z'
'x,-y+1/2,z'
loop_
_atom_site_label
_atom_site_fract_x
_atom_site_fract_y
_atom_site_fract_z
Mo1 0.077 0.250 0.124
Pt1 0.077 0.250 0.625

---

# MoPt (GGA-PBE, optimized geometry)
# Calculated volume (Å³/f.u.): 34
# Density of states at the Fermi level (states/eV/atom): 1.23
# Final energy (eV per atom): -8.258
data_MoPt
_chemical_formula_sum 'Mo4 Pt4'
_cell_length_a 4.3968
_cell_length_b 4.3968
_cell_length_c 8.0548
_cell_angle_alpha 90.00
_cell_angle_beta 90.00
_cell_angle_gamma 120.00
_space_group_name_H-M_alt 'P 63/m m c'
_space_group_IT_number 194
_space_group_name_Hall '-P 6c 2c'
loop_
_atom_site_label
_atom_site_fract_x
_atom_site_fract_y
_atom_site_fract_z
Mo1 0.0000 0.0000 0.2500
Mo2 0.3333 0.6667 0.2500
Pt1 0.3333 0.6667 0.5801

---

# MoPt (GGA-PBE, optimized geometry)
# Calculated volume (Å³/f.u.): 31
# Density of states at the Fermi level (states/eV/atom): 1.11
# Final energy (eV per atom): -8.518
data_MoPt
_chemical_formula_sum 'Mo6 Pt6'
_cell_length_a 2.7865
_cell_length_b 2.7865
_cell_length_c 28.0807
_cell_angle_alpha 90.00
_cell_angle_beta 90.00
_cell_angle_gamma 120.00
_space_group_name_H-M_alt 'R -3 m'
_space_group_IT_number 166
_space_group_name_Hall '-R 3 2"'
loop_
_atom_site_label
_atom_site_fract_x
_atom_site_fract_y
_atom_site_fract_z
Mo1 0.0000 0.0000 0.1233
Pt1 0.0000 0.0000 0.3768

---

# MoPt (GGA-PBE, optimized geometry)
# Calculated volume (Å³/f.u.): 32
# Density of states at the Fermi level (states/eV/atom): 0.78
# Final energy (eV per atom): -8.526
data_MoPt
_chemical_formula_sum 'Mo2 Pt2'
_cell_length_a 2.8061
_cell_length_b 2.8061
_cell_length_c 9.2393
_cell_angle_alpha 90.00
_cell_angle_beta 90.00
_cell_angle_gamma 120.00
_space_group_name_H-M_alt 'P -3 m 1'
_space_group_IT_number 164
_space_group_name_Hall '-P 3 2"'
loop_
_atom_site_label
_atom_site_fract_x
_atom_site_fract_y
_atom_site_fract_z
Mo1 0.3333 0.6667 0.3692
Pt1 0.3333 0.6667 0.8686